# Ge2Sb2Pb (PBE, optimized geometry)
# Energy above the most stable polymorph in this dataset, meV/atom: 94
# Volume, Å³ per atom: 27.2
data_Ge2Sb2Pb
_cell_length_a 4.4465
_cell_length_b 4.4465
_cell_length_c 13.7339
_cell_angle_alpha 90.00
_cell_angle_beta 90.00
_cell_angle_gamma 90.00
_space_group_name_H-M_alt 'I 4/m m m'
_space_group_IT_number 139
_space_group_name_Hall '-I 4 2'
loop_
_atom_site_label
_atom_site_type_symbol
_atom_site_fract_x
_atom_site_fract_y
_atom_site_fract_z
Ge1 Ge 0.0000 0.0000 0.0955
Sb1 Sb 0.0000 0.5000 0.2500
Pb1 Pb 0.0000 0.0000 0.5000

# SnGe2SbPb (PBE, optimized geometry)
# Electronic total energy, eV per atom: -3.277
# Volume, Å³ per atom: 34.0
data_SnGe2SbPb
_cell_length_a 5.3793
_cell_length_b 5.3793
_cell_length_c 5.8816
_cell_angle_alpha 90.00
_cell_angle_beta 90.00
_cell_angle_gamma 90.00
_space_group_name_H-M_alt 'P 4/m m m'
_space_group_IT_number 123
_space_group_name_Hall '-P 4 2'
loop_
_atom_site_label
_atom_site_type_symbol
_atom_site_fract_x
_atom_site_fract_y
_atom_site_fract_z
Sn1 Sn 0.0000 0.0000 0.0000
Ge1 Ge 0.0000 0.5000 0.5000
Sb1 Sb 0.5000 0.5000 0.0000
Pb1 Pb 0.0000 0.0000 0.5000

# GeSbTe5Pb2 (PBE, optimized geometry)
# Electronic total energy, eV per atom: -3.730
# Volume, Å³ per atom: 33.8
data_GeSbTe5Pb2
_cell_length_a 4.6343
_cell_length_b 19.4434
_cell_length_c 13.5060
_cell_angle_alpha 90.00
_cell_angle_beta 90.00
_cell_angle_gamma 90.00
_space_group_name_H-M_alt 'C m c 21'
_space_group_IT_number 36
loop_
_space_group_symop_operation_xyz
'x,y,z'
'-x,-y,z+1/2'
'-x,y,z'
'x,-y,z+1/2'
'x+1/2,y+1/2,z'
'-x+1/2,-y+1/2,z+1/2'
'-x+1/2,y+1/2,z'
'x+1/2,-y+1/2,z+1/2'
loop_
_atom_site_label
_atom_site_type_symbol
_atom_site_fract_x
_atom_site_fract_y
_atom_site_fract_z
Ge1 Ge 0.0000 0.0570 0.0000
Sb1 Sb 0.0000 0.2981 0.6137
Te1 Te 0.0000 0.0097 0.3295
Te2 Te 0.0000 0.1492 0.6040
Te3 Te 0.0000 0.1902 0.9459
Te4 Te 0.0000 0.2022 0.2620
Te5 Te 0.0000 0.4760 0.5950
Pb1 Pb 0.0000 0.3628 0.2723
Pb2 Pb 0.0000 0.4015 0.9298

# Th4GeSb2Pb (PBE, optimized geometry)
# Electronic total energy, eV per atom: -6.496
# Volume, Å³ per atom: 31.8
data_Th4GeSb2Pb
_cell_length_a 7.7430
_cell_length_b 4.4680
_cell_length_c 7.7966
_cell_angle_alpha 90.00
_cell_angle_beta 109.37
_cell_angle_gamma 90.00
_space_group_name_H-M_alt 'P 1 2/m 1'
_space_group_IT_number 10
loop_
_space_group_symop_operation_xyz
'x,y,z'
'-x,-y,-z'
'-x,y,-z'
'x,-y,z'
loop_
_atom_site_label
_atom_site_type_symbol
_atom_site_fract_x
_atom_site_fract_y
_atom_site_fract_z
Th1 Th 0.2351 0.0000 0.2339
Th2 Th 0.2430 0.5000 0.7598
Ge1 Ge 0.0000 0.5000 0.0000
Sb1 Sb 0.5000 0.0000 0.0000
Sb2 Sb 0.5000 0.5000 0.5000
Pb1 Pb 0.0000 0.0000 0.5000

# ScGe3Pb (PBE, optimized geometry)
# Energy above the most stable polymorph in this dataset, meV/atom: 632
# Energy of formation from the pure elements, kJ/mol of formula units: 470
# Volume, Å³ per atom: 30.5
data_ScGe3Pb
_cell_length_a 5.3426
_cell_length_b 5.3426
_cell_length_c 5.3426
_cell_angle_alpha 90.00
_cell_angle_beta 90.00
_cell_angle_gamma 90.00
_space_group_name_H-M_alt 'P m -3 m'
_space_group_IT_number 221
_space_group_name_Hall '-P 4 2 3'
loop_
_atom_site_label
_atom_site_type_symbol
_atom_site_fract_x
_atom_site_fract_y
_atom_site_fract_z
Sc1 Sc 0.0000 0.0000 0.0000
Ge1 Ge 0.0000 0.5000 0.5000
Pb1 Pb 0.5000 0.5000 0.5000

# Sc2Ge2Pb (PBE, optimized geometry)
# Energy of formation from the pure elements, kJ/mol of formula units: -198
# Volume, Å³ per atom: 22.3
data_Sc2Ge2Pb
_cell_length_a 3.7078
_cell_length_b 3.7078
_cell_length_c 16.2398
_cell_angle_alpha 90.00
_cell_angle_beta 90.00
_cell_angle_gamma 90.00
_space_group_name_H-M_alt 'I 4/m m m'
_space_group_IT_number 139
_space_group_name_Hall '-I 4 2'
loop_
_atom_site_label
_atom_site_type_symbol
_atom_site_fract_x
_atom_site_fract_y
_atom_site_fract_z
Sc1 Sc 0.0000 0.0000 0.1168
Ge1 Ge 0.0000 0.5000 0.2500
Pb1 Pb 0.0000 0.0000 0.5000

# Sc2Ge2Pb (PBE, optimized geometry)
# Energy of formation from the pure elements, kJ/mol of formula units: -137
# Volume, Å³ per atom: 23.8
data_Sc2Ge2Pb
_cell_length_a 4.6992
_cell_length_b 4.6992
_cell_length_c 10.7840
_cell_angle_alpha 90.00
_cell_angle_beta 90.00
_cell_angle_gamma 90.00
_space_group_name_H-M_alt 'I 4/m m m'
_space_group_IT_number 139
_space_group_name_Hall '-I 4 2'
loop_
_atom_site_label
_atom_site_type_symbol
_atom_site_fract_x
_atom_site_fract_y
_atom_site_fract_z
Sc1 Sc 0.0000 0.5000 0.2500
Ge1 Ge 0.0000 0.0000 0.1162
Pb1 Pb 0.0000 0.0000 0.5000

# ScGePb3 (PBE, optimized geometry)
# Energy above the most stable polymorph in this dataset, meV/atom: 0
# Energy of formation from the pure elements, kJ/mol of formula units: 266
# Volume, Å³ per atom: 34.7
data_ScGePb3
_cell_length_a 5.5799
_cell_length_b 5.5799
_cell_length_c 5.5799
_cell_angle_alpha 90.00
_cell_angle_beta 90.00
_cell_angle_gamma 90.00
_space_group_name_H-M_alt 'P m -3 m'
_space_group_IT_number 221
_space_group_name_Hall '-P 4 2 3'
loop_
_atom_site_label
_atom_site_type_symbol
_atom_site_fract_x
_atom_site_fract_y
_atom_site_fract_z
Sc1 Sc 0.0000 0.0000 0.0000
Ge1 Ge 0.5000 0.5000 0.5000
Pb1 Pb 0.0000 0.0000 0.5000

# Sc2GePb2 (PBE, optimized geometry)
# Energy above the most stable polymorph in this dataset, meV/atom: 0
# Energy of formation from the pure elements, kJ/mol of formula units: -174
# Volume, Å³ per atom: 24.6
data_Sc2GePb2
_cell_length_a 7.2483
_cell_length_b 7.2483
_cell_length_c 4.6815
_cell_angle_alpha 90.00
_cell_angle_beta 90.00
_cell_angle_gamma 90.00
_space_group_name_H-M_alt 'P 4/m b m'
_space_group_IT_number 127
_space_group_name_Hall '-P 4 2ab'
loop_
_atom_site_label
_atom_site_type_symbol
_atom_site_fract_x
_atom_site_fract_y
_atom_site_fract_z
Sc1 Sc 0.1649 0.3351 0.0000
Ge1 Ge 0.0000 0.0000 0.0000
Pb1 Pb 0.1532 0.6532 0.5000

# ScGe2Pb2 (PBE, optimized geometry)
# Energy of formation from the pure elements, kJ/mol of formula units: -41
# Volume, Å³ per atom: 24.9
data_ScGe2Pb2
_cell_length_a 7.2013
_cell_length_b 7.2013
_cell_length_c 4.7985
_cell_angle_alpha 90.00
_cell_angle_beta 90.00
_cell_angle_gamma 90.00
_space_group_name_H-M_alt 'P 4/m b m'
_space_group_IT_number 127
_space_group_name_Hall '-P 4 2ab'
loop_
_atom_site_label
_atom_site_type_symbol
_atom_site_fract_x
_atom_site_fract_y
_atom_site_fract_z
Sc1 Sc 0.0000 0.0000 0.0000
Ge1 Ge 0.1257 0.3743 0.0000
Pb1 Pb 0.1834 0.6834 0.5000

# Sc8GePb2 (PBE, optimized geometry)
# Energy of formation from the pure elements, kJ/mol of formula units: -317
# Volume, Å³ per atom: 23.8
data_Sc8GePb2
_cell_length_a 18.3704
_cell_length_b 4.7659
_cell_length_c 6.2092
_cell_angle_alpha 90.00
_cell_angle_beta 105.76
_cell_angle_gamma 90.00
_space_group_name_H-M_alt 'C 1 2/m 1'
_space_group_IT_number 12
loop_
_space_group_symop_operation_xyz
'x,y,z'
'-x,-y,-z'
'-x,y,-z'
'x,-y,z'
'x+1/2,y+1/2,z'
'-x+1/2,-y+1/2,-z'
'-x+1/2,y+1/2,-z'
'x+1/2,-y+1/2,z'
loop_
_atom_site_label
_atom_site_type_symbol
_atom_site_fract_x
_atom_site_fract_y
_atom_site_fract_z
Sc1 Sc 0.0178 0.0000 0.2709
Sc2 Sc 0.0864 0.5000 0.9665
Sc3 Sc 0.1493 0.5000 0.5155
Sc4 Sc 0.2222 0.0000 0.8283
Ge1 Ge 0.0000 0.5000 0.5000
Pb1 Pb 0.1776 0.0000 0.2579

# ScGe3Pb (PBE, optimized geometry)
# Energy above the most stable polymorph in this dataset, meV/atom: 0
# Energy of formation from the pure elements, kJ/mol of formula units: 165
# Volume, Å³ per atom: 27.2
data_ScGe3Pb
_cell_length_a 5.1455
_cell_length_b 5.1455
_cell_length_c 5.1455
_cell_angle_alpha 90.00
_cell_angle_beta 90.00
_cell_angle_gamma 90.00
_space_group_name_H-M_alt 'P m -3 m'
_space_group_IT_number 221
_space_group_name_Hall '-P 4 2 3'
loop_
_atom_site_label
_atom_site_type_symbol
_atom_site_fract_x
_atom_site_fract_y
_atom_site_fract_z
Sc1 Sc 0.0000 0.0000 0.0000
Ge1 Ge 0.0000 0.0000 0.5000
Pb1 Pb 0.5000 0.5000 0.5000

> What is the volume in the tenth record?

24.9 Å³ per atom